The following is a DFT calculation (PBE with a Hubbard U) of a relaxed structure of Mg2SbMoO6.

Output
Energy above the lowest structure with this stoichiometry ... 3.28 kJ/mol of atoms
Space group ... P1, No. 1

a b c (Å): 5.3442 5.3903 5.7003
angles (deg): 62.67 63.29 60.82
Fractional positions:
Mg  0.0000  0.0000  0.0000
Mg  0.4904  0.5105  0.4842
Sb  0.7385  0.6913  0.8411
Mo  0.2060  0.2114  0.3839
O  0.1158  0.8054  0.6769
O  0.2523  0.5989  0.2101
O  0.3510  0.1581  0.6735
O  0.5598  0.9486  0.2143
O  0.7986  0.3785  0.6778
O  0.9024  0.3225  0.1761